# 1
This record from the Alexandria database describes a relaxed LaTbY2Te6 crystal. The functional is PBE.

```
10
Lattice="3.916 2.261 7.058 -3.916 2.261 7.058 0.000 -4.522 7.058" Properties=species:S:1:pos:R:3 pbc="T T T"
La 0.000 0.000 0.000
Tb 0.000 0.000 10.490
Y 0.000 0.000 6.479
Y 0.000 0.000 17.126
Te -2.379 -0.155 8.472
Te -1.451 -2.293 11.980
Te 1.324 -1.982 8.472
Te -1.261 2.403 11.980
Te 1.055 2.137 8.472
Te 2.712 -0.110 11.980
```

Properties
* total moment: 0.0 μB/cell
* formation energy from raw total energies: -1411 meV per atom



# 2
This record from the Alexandria database describes a relaxed La7Tb12Th crystal. The functional is PBE.

```
20
Lattice="-5.760 5.760 5.760 5.760 -5.760 5.760 5.760 5.760 -5.760" Properties=species:S:1:pos:R:3 pbc="T T T"
La 2.880 2.880 -2.880
La 2.880 -2.880 2.880
La 5.760 0.000 0.000
La -2.880 2.880 2.880
La 0.000 5.760 0.000
La 0.000 0.000 5.760
La 2.880 2.880 2.880
Tb 5.760 3.222 -3.207
Tb 2.552 0.000 2.538
Tb 8.967 0.000 2.538
Tb 2.538 2.552 0.000
Tb 3.222 -3.207 5.760
Tb 0.000 2.538 2.552
Tb 5.760 3.222 3.207
Tb 2.538 8.967 0.000
Tb 3.222 3.207 5.760
Tb -3.207 5.760 3.222
Tb 3.207 5.760 3.222
Tb 0.000 2.538 8.967
Th 0.000 0.000 0.000
```

Properties
* total moment: 0.0 μB/cell
* VASP energy: -85.14 eV/cell
* D(E_F): 28.04 states/eV/f.u.



> What is the formula in the second record?

La7Tb12Th